# 1
Compound: TaCdMo3
Source: the Alexandria database
Functional: PBE
Structure: optimized geometry

Geometry as POSCAR:
```
TaCdMo3
1.0
-1.762 4.300 -1.191
0.969 -0.881 -4.615
-4.356 -1.936 -0.545
Cd Mo Ta
1 3 1
Cartesian
-2.574 0.741 -3.175
0.484 -0.441 -2.308
-2.178 -0.968 -0.272
-0.881 2.150 -0.596
0.000 0.000 0.000
```

## Properties
- E (eV per atom) = -7.361
- total magnetic moment (μB/cell) = 0.0
- E_form (eV per atom) = 1.691

***

# 2
Compound: Ta4CdMo
Source: the Alexandria database
Functional: PBE
Structure: optimized geometry

Geometry as POSCAR:
```
Ta4CdMo
1.0
2.050 -3.760 3.364
-0.768 0.445 5.373
-3.329 -3.459 2.570
Ta Mo Cd
4 1 1
Cartesian
-1.154 -2.303 6.943
0.274 -4.433 5.926
-0.765 -2.529 4.222
-2.451 -4.281 5.524
0.000 0.000 0.000
-1.536 -5.080 8.481
```

## Properties
- E (eV per atom) = -9.389
- total magnetic moment (μB/cell) = 0.0
- E_form (eV per atom) = 0.471

***

# 3
Compound: Ta2CdMo
Source: the Alexandria database
Functional: PBE
Structure: optimized geometry

Geometry as POSCAR:
```
Ta2CdMo
1.0
5.422 0.002 -0.001
2.380 4.872 0.001
-3.459 -3.145 2.747
Ta Mo Cd
2 1 1
Cartesian
0.088 0.055 0.000
2.995 -0.313 1.373
1.307 2.017 1.374
3.854 2.408 0.000
```

## Properties
- E (eV per atom) = -8.592
- total magnetic moment (μB/cell) = 0.0
- E_form (eV per atom) = 0.271